(1)
Compound: Mg2PtSe
Source: the Alexandria database
Functional: GGA-PBE
Structure: optimized geometry

Structure (CIF):
```
data_Mg2PtSe
_symmetry_space_group_name_H-M 'R -3 m'
_symmetry_Int_Tables_number 166
_symmetry_space_group_name_Hall '-R 3 2"'
_cell_length_a 3.7938
_cell_length_b 3.7938
_cell_length_c 19.2683
_cell_angle_alpha 90.00
_cell_angle_beta 90.00
_cell_angle_gamma 120.00
loop_
_atom_site_label
_atom_site_type_symbol
_atom_site_fract_x
_atom_site_fract_y
_atom_site_fract_z
Mg1 Mg 0.0000 0.0000 0.2501
Pt1 Pt 0.0000 0.0000 0.0000
Se1 Se 0.0000 0.0000 0.5000
```

(2)
Compound: MgPt3Se
Source: the Alexandria database
Functional: GGA-PBE
Structure: optimized geometry

Structure (CIF):
```
data_MgPt3Se
_symmetry_space_group_name_H-M 'P m -3 m'
_symmetry_Int_Tables_number 221
_symmetry_space_group_name_Hall '-P 4 2 3'
_cell_length_a 4.653
_cell_length_b 4.653
_cell_length_c 4.653
_cell_angle_alpha 90.00
_cell_angle_beta 90.00
_cell_angle_gamma 90.00
loop_
_atom_site_label
_atom_site_type_symbol
_atom_site_fract_x
_atom_site_fract_y
_atom_site_fract_z
Mg1 Mg 0.000 0.000 0.000
Pt1 Pt 0.000 0.000 0.500
Se1 Se 0.500 0.500 0.500
```

Values from the calculation:
**Energy above the most stable polymorph in this dataset**: 0.709 eV per atom

(3)
Compound: Mg2PtSe
Source: the Alexandria database
Functional: GGA-PBE
Structure: optimized geometry

Structure (CIF):
```
data_Mg2PtSe
_symmetry_space_group_name_H-M 'I m m 2'
_symmetry_Int_Tables_number 44
_cell_length_a 3.468
_cell_length_b 3.504
_cell_length_c 13.106
_cell_angle_alpha 90.00
_cell_angle_beta 90.00
_cell_angle_gamma 90.00
loop_
_symmetry_equiv_pos_as_xyz
'x,y,z'
'-x,-y,z'
'-x,y,z'
'x,-y,z'
'x+1/2,y+1/2,z+1/2'
'-x+1/2,-y+1/2,z+1/2'
'-x+1/2,y+1/2,z+1/2'
'x+1/2,-y+1/2,z+1/2'
loop_
_atom_site_label
_atom_site_type_symbol
_atom_site_fract_x
_atom_site_fract_y
_atom_site_fract_z
Mg1 Mg 0.000 0.000 0.000
Mg2 Mg 0.000 0.500 0.252
Pt1 Pt 0.000 0.500 0.841
Se1 Se 0.000 0.000 0.587
```

no.,formation energy without anion corrections (kcal/mol of atoms),DOS at the Fermi energy (states/eV per atom)
1,-16.41,0.0828
2,21.36,0.8405
3,-15.64,0.2644